1.
The following is a DFT calculation (PBE) of a geometry-optimized Pu2AlPd structure.

Unit cell a=5.8736 b=3.3234 c=5.7977 alpha=73.87 beta=38.76 gamma=73.14
Sites, in units of the cell vectors:
Al1 0.7500 0.7500 0.7500
Pd1 0.2500 0.2500 0.2500
Pu1 0.9697 0.9897 0.0317
Pu2 0.5303 0.5103 0.4683

Computed properties:
Calculated formation energy ... -0.1286 eV/atom
E_tot ... -9.528 eV per atom

=====

2.
The following is a DFT calculation (PBE) of a geometry-optimized Dy3Ag3Rh2 structure.

Unit cell a=3.6862 b=7.3154 c=7.3154 alpha=120.00 beta=90.00 gamma=90.00
Sites, in units of the cell vectors:
Dy1 0.5000 0.4142 0.4142
Dy2 0.5000 0.5858 0.0000
Dy3 0.5000 0.0000 0.5858
Ag1 0.0000 0.7734 0.7734
Ag2 0.0000 0.2266 0.0000
Ag3 0.0000 0.0000 0.2266
Rh1 0.0000 0.3333 0.6667
Rh2 0.0000 0.6667 0.3333

Computed properties:
Calculated formation energy ... -0.5669 eV/atom
E_tot ... -5.200 eV per atom

=====

Question: What is the calculated formation energy in the second record?
Answer: -0.5669 eV/atom